## Na2TmAs2O6 (GGA-PBE)

Data for crystalline Na2TmAs2O6 at its relaxed geometry.

a = 5.8872 Å, b = 5.4457 Å, c = 6.7559 Å
α = 112.55°, β = 90.00°, γ = 122.72°
Fractional coordinates of all 11 atoms:
O (0.7042, 0.8852, 0.2315)
O (0.8190, 0.1148, 0.7685)
O (0.2958, 0.1148, 0.7685)
O (0.2462, 0.4924, 0.4715)
O (0.1810, 0.8852, 0.2315)
O (0.7538, 0.5076, 0.5285)
As (0.0604, 0.1207, 0.2273)
As (0.9396, 0.8793, 0.7727)
Na (0.2961, 0.5923, 0.8587)
Na (0.7039, 0.4077, 0.1413)
Tm (0.5000, 0.0000, 0.5000)

Properties
- Total magnetization: 0.97 μB/cell
- DOS(E_F): 0.117 states/eV/atom
- Volume: 162.19 Å³/cell
- SG: C2/m (12)
- E_form (uncorrected): -1.896 eV per atom